CaP2Os (PBE, optimized geometry); total DFT energy (no corrections) = -5.4867 eV/atom; calculated volume = 64.9 Å³ per cell; distance to the lowest polymorph of the same formula = 1.127 eV/atom; formation energy from the elements = 526 meV per atom
1.0
0.000 3.189 3.189
3.189 0.000 3.189
3.189 3.189 0.000
Ca P Os
1 2 1
Direct
0.000 0.000 0.000 Ca
0.500 0.500 0.500 P
0.750 0.750 0.750 P
0.250 0.250 0.250 Os


MgCr (PBE, optimized geometry); total DFT energy (no corrections) = -5.0037 eV/atom; calculated volume = 59.5 Å³ per cell; distance to the lowest polymorph of the same formula = 0.360 eV/atom; formation energy from the elements = 605 meV per atom
1.0
0.000 3.099 3.099
3.099 0.000 3.099
3.099 3.099 0.000
Mg Cr
2 2
Direct
0.125 0.125 0.125 Mg
0.875 0.875 0.875 Mg
0.375 0.375 0.375 Cr
0.625 0.625 0.625 Cr


Ti2RuAu (PBE, optimized geometry); total DFT energy (no corrections) = -7.5049 eV/atom; calculated volume = 63.1 Å³ per cell; formation energy from the elements = -419 meV per atom
1.0
4.154 0.000 0.000
0.000 4.154 0.000
0.000 0.000 3.657
Ti Ru Au
2 1 1
Direct
0.000 0.500 0.000 Ti
0.500 0.000 0.000 Ti
0.000 0.000 0.500 Ru
0.500 0.500 0.500 Au


FeBr5 (PBE, optimized geometry); total DFT energy (no corrections) = -2.8072 eV/atom; formation energy (no corrections) = 0.00 eV/atom; calculated volume = 206.0 Å³ per cell
1.0
8.377 0.000 0.000
0.000 1.826 6.732
0.000 -1.826 6.732
Fe Br
1 5
Direct
0.000 0.000 0.000 Fe
0.000 0.373 0.373 Br
0.000 0.627 0.627 Br
0.500 0.223 0.223 Br
0.500 0.557 0.557 Br
0.500 0.889 0.889 Br